Arrangement A

{"formula": "RbCd2Pt2", "functional": "PBEsol", "state": "relaxed", "sg": "P4/mbm", "n_ef_per_ev_cell": 2.18, "lattice_angstrom": [[2.924, 0.000, 0.000], [0.000, 8.324, 0.000], [0.000, 0.000, 8.324]], "species": ["Pt", "Rb", "Cd", "Pt", "Pt", "Cd", "Cd", "Rb", "Pt", "Cd"], "frac_coords": [[0.000, 0.155, 0.345], [0.000, 0.000, 0.000], [0.500, 0.862, 0.362], [0.000, 0.345, 0.845], [0.000, 0.655, 0.155], [0.500, 0.638, 0.862], [0.500, 0.362, 0.138], [0.000, 0.500, 0.500], [0.000, 0.845, 0.655], [0.500, 0.138, 0.638]]}

***

Arrangement B

{"formula": "RbCd2Pt2", "functional": "PBEsol", "state": "relaxed", "sg": "I4/mmm", "n_ef_per_ev_cell": 1.41, "lattice_angstrom": [[4.561, 0.000, 0.000], [0.000, 4.561, 0.000], [-2.281, -2.281, 5.587]], "species": ["Rb", "Cd", "Pt", "Pt", "Cd"], "frac_coords": [[0.000, 0.000, 0.000], [0.250, 0.750, 0.500], [0.613, 0.613, 0.226], [0.387, 0.387, 0.774], [0.750, 0.250, 0.500]]}

***

On energetic grounds, arrangement A is preferred over the next structure by 69 meV/atom.

***

Arrangement A

{"formula": "CdRePt", "functional": "PBEsol", "state": "relaxed", "sg": "I4mm", "n_ef_per_ev_cell": 2.53, "lattice_angstrom": [[2.765, 0.000, 0.000], [0.000, 2.765, 0.000], [-1.382, -1.382, 6.272]], "species": ["Re", "Cd", "Pt"], "frac_coords": [[0.323, 0.323, 0.645], [0.000, 0.000, 0.000], [0.677, 0.677, 0.355]]}

***

Arrangement B

{"formula": "CdRePt", "functional": "PBEsol", "state": "relaxed", "sg": "P3m1", "n_ef_per_ev_cell": 2.62, "lattice_angstrom": [[-0.635, 0.357, 2.711], [-1.701, -1.500, -1.654], [3.560, -5.801, 1.599]], "species": ["Re", "Cd", "Pt"], "frac_coords": [[0.667, 0.333, 0.350], [0.000, 0.000, 0.998], [0.333, 0.667, 0.652]]}

***

On energetic grounds, arrangement A is preferred over the next structure by 39 meV/atom.

***

Arrangement A

{"formula": "CdRuPt", "functional": "PBEsol", "state": "relaxed", "sg": "I4mm", "n_ef_per_ev_cell": 2.94, "lattice_angstrom": [[-2.275, 1.415, 0.719], [0.118, -1.102, 2.543], [4.548, 4.483, 0.217]], "species": ["Cd", "Pt", "Ru"], "frac_coords": [[0.002, 0.002, 0.004], [0.322, 0.322, 0.645], [0.676, 0.676, 0.352]]}

***

Arrangement B

{"formula": "CdRuPt", "functional": "PBEsol", "state": "relaxed", "sg": "P3m1", "n_ef_per_ev_cell": 2.70, "lattice_angstrom": [[-2.619, -0.001, -0.990], [0.473, -0.530, 2.709], [-0.533, 6.684, 1.401]], "species": ["Pt", "Ru", "Cd"], "frac_coords": [[0.333, 0.667, 0.652], [0.667, 0.333, 0.346], [0.000, 0.000, 0.002]]}

***

On energetic grounds, arrangement A is preferred over the next structure by 52 meV/atom.

***

Arrangement A

{"formula": "TaCd2Pt", "functional": "PBEsol", "state": "relaxed", "sg": "R3m", "n_ef_per_ev_cell": 1.82, "lattice_angstrom": [[2.911, 0.000, 0.000], [1.456, 2.521, 0.000], [1.456, 0.840, 9.761]], "species": ["Pt", "Cd", "Ta", "Cd"], "frac_coords": [[0.504, 0.504, 0.488], [0.997, 0.997, 0.008], [0.244, 0.244, 0.269], [0.755, 0.755, 0.735]]}

***

Arrangement B

{"formula": "TaCd2Pt", "functional": "PBEsol", "state": "relaxed", "sg": "R-3m", "n_ef_per_ev_cell": 3.65, "lattice_angstrom": [[-1.841, 1.803, -1.390], [-2.751, -0.846, -0.537], [-4.279, 3.956, 7.715]], "species": ["Cd", "Ta", "Pt", "Cd"], "frac_coords": [[0.246, 0.246, 0.263], [0.000, 0.000, 0.000], [0.500, 0.500, 0.500], [0.754, 0.754, 0.737]]}

***

On energetic grounds, arrangement A is preferred over the next structure by 194 meV/atom.